TbSmTm2Sc4 | GGA-PBE | optimized geometry

**DFT formation energy**: 42.8 kJ/mol of atoms
**Crystal system**: orthorhombic
**DOS(E_F)**: 69.433 states/eV per cell

Unit cell a=6.505 b=11.253 c=12.655 alpha=90.00 beta=90.00 gamma=90.00
Space group Imma (No. 74)
Symmetry-distinct sites (fractional):
Tb 0.000 0.000 0.000 [4 per cell]
Sm 0.250 0.250 0.250 [4 per cell]
Tm 0.000 0.000 0.500 [4 per cell]
Tm 0.250 0.250 0.750 [4 per cell]
Sc 0.000 0.003 0.748 [8 per cell]
Sc 0.249 0.250 0.503 [8 per cell]